Entry 1:
The following is a PBE calculation of an optimized crystal structure of CoMoP4, from Alexandria.

a b c (Å): 4.850 4.850 4.850
angles (deg): 60.00 60.00 60.00
Atoms (fractional coordinates):
Co1 0.000 0.000 0.000
Mo1 0.750 0.750 0.750
P1 0.375 0.375 0.375
P2 0.375 0.375 0.875
P3 0.375 0.875 0.375
P4 0.875 0.375 0.375

Computed properties:
The density of states at the Fermi level is 0.8417 states/eV per atom. The excess energy over the best structure of this formula in the dataset is 923 meV/atom.


Entry 2:
The following is a PBE calculation of an optimized crystal structure of Li3TeRh, from Alexandria.

a b c (Å): 4.623 4.623 4.623
angles (deg): 90.00 90.00 90.00
Atoms (fractional coordinates):
Li1 0.000 0.000 0.500
Li2 0.000 0.500 0.000
Li3 0.500 0.000 0.000
Te1 0.500 0.500 0.500
Rh1 0.000 0.000 0.000

Computed properties:
The density of states at the Fermi level is 0.7698 states/eV per atom. The excess energy over the best structure of this formula in the dataset is 0 meV/atom. For the uncorrected formation energy, the calculation gives 39.2 kJ/mol of formula units.


Entry 3:
The following is a PBE calculation of an optimized crystal structure of RbAlTe2, from Alexandria.

a b c (Å): 4.216 4.216 9.143
angles (deg): 90.00 90.00 120.00
Atoms (fractional coordinates):
Rb1 0.000 0.000 0.000
Al1 0.667 0.333 0.546
Te1 0.000 0.000 0.386
Te2 0.333 0.667 0.718

Computed properties:
The density of states at the Fermi level is 0.0000 states/eV per atom. For the uncorrected formation energy, the calculation gives -212.8 kJ/mol of formula units.


Entry 4:
The following is a PBE calculation of an optimized crystal structure of PrScSe, from Alexandria.

a b c (Å): 4.702 4.702 4.068
angles (deg): 90.00 90.00 120.00
Atoms (fractional coordinates):
Pr1 0.000 0.000 0.000
Sc1 0.333 0.667 0.500
Se1 0.667 0.333 0.500

Computed properties:
The density of states at the Fermi level is 1.1219 states/eV per atom. The excess energy over the best structure of this formula in the dataset is 371 meV/atom. For the uncorrected formation energy, the calculation gives -207.3 kJ/mol of formula units.


Entry 5:
The following is a PBE calculation of an optimized crystal structure of NdGdSbAu, from Alexandria.

a b c (Å): 5.326 5.326 5.326
angles (deg): 60.00 60.00 60.00
Atoms (fractional coordinates):
Nd1 0.000 0.000 0.000
Gd1 0.500 0.500 0.500
Sb1 0.750 0.750 0.750
Au1 0.250 0.250 0.250

Computed properties:
The density of states at the Fermi level is 1.4757 states/eV per atom. For the uncorrected formation energy, the calculation gives -315.9 kJ/mol of formula units.


Entry 6:
The following is a PBE calculation of an optimized crystal structure of AlFe3, from Alexandria.

a b c (Å): 3.000 3.000 5.373
angles (deg): 90.00 90.00 90.00
Atoms (fractional coordinates):
Al1 0.000 0.000 0.000
Fe1 0.000 0.000 0.500
Fe2 0.500 0.500 0.260
Fe3 0.500 0.500 0.740

Computed properties:
The density of states at the Fermi level is 0.6268 states/eV per atom. The calculated total energy comes out at -29.760 eV for the cell shown.


Entry 7:
The following is a PBE calculation of an optimized crystal structure of LiLa2Zn3Ga4, from Alexandria.

a b c (Å): 4.347 4.347 10.646
angles (deg): 90.00 90.00 90.00
Atoms (fractional coordinates):
Li1 0.000 0.000 0.000
La1 0.000 0.500 0.747
La2 0.500 0.000 0.253
Zn1 0.000 0.500 0.365
Zn2 0.500 0.000 0.635
Zn3 0.500 0.500 0.000
Ga1 0.000 0.000 0.500
Ga2 0.000 0.500 0.130
Ga3 0.500 0.000 0.870
Ga4 0.500 0.500 0.500

Computed properties:
The density of states at the Fermi level is 0.3856 states/eV per atom. The calculated total energy comes out at -32.523 eV for the cell shown.


Entry 8:
The following is a PBE calculation of an optimized crystal structure of LiZnSb2, from Alexandria.

a b c (Å): 6.487 6.487 6.487
angles (deg): 101.80 101.80 126.23
Atoms (fractional coordinates):
Li1 0.000 0.000 0.000
Li2 0.750 0.250 0.500
Zn1 0.250 0.750 0.500
Zn2 0.500 0.500 0.000
Sb1 0.181 0.625 0.056
Sb2 0.375 0.431 0.556
Sb3 0.569 0.125 0.944
Sb4 0.875 0.819 0.444

Computed properties:
The density of states at the Fermi level is 0.6209 states/eV per atom. For the uncorrected formation energy, the calculation gives -31.3 kJ/mol of formula units.